Model w:
# Sm3Se

Crystalline Sm3Se at its relaxed geometry (PBE, Alexandria via LeMat-Bulk).

Properties
The density of states at the Fermi level is 4.1 states/eV/cell.

Cell: 3.7265 3.7278 9.3495 Å, 90.00 90.00 90.00°
Space group Pmm2 (No. 25)
Unique sites:
Sm  0.0000  0.0000  0.0000 x1
Sm  0.0000  0.5000  0.3399 x1
Sm  0.5000  0.5000  0.7300 x1
Se  0.5000  0.0000  0.4780 x1

=====

Model x:
# Sm3Se

Crystalline Sm3Se at its relaxed geometry (PBE, Alexandria via LeMat-Bulk).

Properties
The density of states at the Fermi level is 9.6 states/eV/cell.

Cell: 3.7655 9.6489 6.5405 Å, 90.00 90.00 90.00°
Space group Imm2 (No. 44)
Unique sites:
Sm  0.0000  0.0000  0.0000 x2
Sm  0.0000  0.1950  0.4274 x4
Se  0.0000  0.5000  0.1603 x2

=====

Decreasing stability: model x, model w